1.
Computed, not measured: a relaxed structure of BaYW2 at the PBE level of DFT.

Symmetry ... No. 119
DFT formation energy ... 1.30 eV per atom
ΔE to the lowest computed polymorph ... 0.7374 eV/atom
Calculated total energy ... -29.11 eV per formula unit
Size of the total moment ... 0.00 μB/f.u.

abc: 5.000 5.000 7.297
angles: 90.00 90.00 90.00
Sites, in units of the cell vectors:
Ba 0.000 0.000 0.000
Ba 0.500 0.500 0.500
Y 0.000 0.500 0.250
Y 0.500 0.000 0.750
W 0.000 0.000 0.500
W 0.000 0.500 0.750
W 0.500 0.000 0.250
W 0.500 0.500 0.000

2.
Computed, not measured: a relaxed structure of TlHgBiTe3 at the PBE level of DFT.

Energy relative to the elements, uncorrected ... -0.222 eV per atom
Symmetry ... No. 11
Calculated total energy ... -17.31 eV per formula unit
Size of the total moment ... 0.00 μB/f.u.

abc: 9.334 4.578 10.418
angles: 90.00 103.40 90.00
Sites, in units of the cell vectors:
Tl 0.198 0.250 0.242
Tl 0.802 0.750 0.758
Hg 0.090 0.250 0.609
Hg 0.910 0.750 0.391
Bi 0.329 0.750 0.869
Bi 0.671 0.250 0.131
Te 0.099 0.250 0.886
Te 0.238 0.750 0.528
Te 0.442 0.750 0.163
Te 0.558 0.250 0.837
Te 0.762 0.250 0.472
Te 0.901 0.750 0.114

3.
Computed, not measured: a relaxed structure of ScTiIr2 at the PBE level of DFT.

Symmetry ... No. 123
DFT formation energy ... -0.92 eV per atom
Calculated total energy ... -35.63 eV per formula unit
Size of the total moment ... 0.00 μB/f.u.

abc: 3.030 3.030 6.985
angles: 90.00 90.00 90.00
Sites, in units of the cell vectors:
Sc 0.000 0.000 0.000
Ti 0.000 0.000 0.500
Ir 0.500 0.500 0.271
Ir 0.500 0.500 0.729

Copy entry 1 word for word.
Computed, not measured: a relaxed structure of BaYW2 at the PBE level of DFT.

Symmetry ... No. 119
DFT formation energy ... 1.30 eV per atom
ΔE to the lowest computed polymorph ... 0.7374 eV/atom
Calculated total energy ... -29.11 eV per formula unit
Size of the total moment ... 0.00 μB/f.u.

abc: 5.000 5.000 7.297
angles: 90.00 90.00 90.00
Sites, in units of the cell vectors:
Ba 0.000 0.000 0.000
Ba 0.500 0.500 0.500
Y 0.000 0.500 0.250
Y 0.500 0.000 0.750
W 0.000 0.000 0.500
W 0.000 0.500 0.750
W 0.500 0.000 0.250
W 0.500 0.500 0.000